A relaxed structure of Ta3InB2. Source: OQMD via LeMat-Bulk, functional GGA-PBE.

total DFT energy (no corrections)	-9.084	eV/atom
crystal system	hexagonal

CIF file:
```
data_Ta3InB2
_chemical_formula_sum 'Ta6 In2 B4'
_symmetry_space_group_name_H-M 'P 1'
_symmetry_Int_Tables_number 1
_cell_length_a 3.2813
_cell_length_b 3.2813
_cell_length_c 19.4810
_cell_angle_alpha 90.00
_cell_angle_beta 90.00
_cell_angle_gamma 120.00
loop_
_symmetry_equiv_pos_as_xyz
'x,y,z'
loop_
_atom_site_label
_atom_site_fract_x
_atom_site_fract_y
_atom_site_fract_z
Ta1 0.0000 0.0000 0.0000
Ta2 0.0000 0.0000 0.5000
Ta3 0.3333 0.6667 0.1279
Ta4 0.3333 0.6667 0.3721
Ta5 0.6667 0.3333 0.6279
Ta6 0.6667 0.3333 0.8721
In1 0.0000 0.0000 0.2500
In2 0.0000 0.0000 0.7500
B1 0.3333 0.6667 0.5688
B2 0.3333 0.6667 0.9312
B3 0.6667 0.3333 0.0688
B4 0.6667 0.3333 0.4312
```